No. 1
Computed, not measured: a geometry-optimized Pm2Ni4Sb3Pb structure at the PBE level of DFT.

Cell: 4.451 4.451 10.262 Å, 90.00 90.00 90.00°
Fractional coordinates of all 10 atoms:
Pm: 0.000 0.500 0.232
Pm: 0.500 0.000 0.768
Ni: 0.000 0.000 0.000
Ni: 0.000 0.500 0.634
Ni: 0.500 0.000 0.366
Ni: 0.500 0.500 0.000
Sb: 0.000 0.500 0.875
Sb: 0.500 0.000 0.125
Sb: 0.500 0.500 0.500
Pb: 0.000 0.000 0.500

Calculated values
V	203.3	Å³/cell
ΔE_f (raw)	-52.3	kJ per mole of atoms

No. 2
Computed, not measured: a geometry-optimized Nd5Pd2 structure at the PBE level of DFT.

Cell: 9.310 9.310 7.274 Å, 96.35 96.35 42.24°
Fractional coordinates of all 14 atoms:
Nd: 0.073 0.927 0.750
Nd: 0.148 0.291 0.311
Nd: 0.291 0.148 0.811
Nd: 0.299 0.513 0.069
Nd: 0.487 0.701 0.431
Nd: 0.513 0.299 0.569
Nd: 0.701 0.487 0.931
Nd: 0.709 0.852 0.189
Nd: 0.852 0.709 0.689
Nd: 0.927 0.073 0.250
Pd: 0.081 0.698 0.426
Pd: 0.302 0.919 0.074
Pd: 0.698 0.081 0.926
Pd: 0.919 0.302 0.574

Calculated values
VASP energy	-5.340	eV per atom
V	420.8	Å³/cell

No. 3
Computed, not measured: a geometry-optimized NiRuSe2 structure at the PBE level of DFT.

Cell: 4.012 4.012 6.939 Å, 107.04 107.04 46.06°
Fractional coordinates of all 4 atoms:
Ni: 0.000 0.000 0.000
Ru: 0.209 0.209 0.761
Se: 0.454 0.454 0.582
Se: 0.734 0.734 0.088

Calculated values
offset from the most stable computed form	0.572	eV per formula unit
V	76.2	Å³/cell
ΔE_f (raw)	-4.8	kJ per mole of atoms

No. 4
Computed, not measured: a geometry-optimized TiVC structure at the PBE level of DFT.

Cell: 3.651 3.651 3.651 Å, 60.00 60.00 60.00°
Fractional coordinates of all 3 atoms:
Ti: 0.000 0.000 0.000
V: 0.500 0.500 0.500
C: 0.250 0.250 0.250

Calculated values
offset from the most stable computed form	0.889	eV per formula unit
V	34.4	Å³/cell

No. 5
Computed, not measured: a geometry-optimized NbZn2InAu structure at the PBE level of DFT.

Cell: 4.861 4.861 5.266 Å, 90.00 90.00 90.00°
Fractional coordinates of all 5 atoms:
Nb: 0.000 0.000 0.000
Zn: 0.000 0.500 0.500
Zn: 0.500 0.000 0.500
In: 0.500 0.500 0.000
Au: 0.500 0.500 0.500

Calculated values
VASP energy	-2.928	eV per atom
V	124.4	Å³/cell

No. 6
Computed, not measured: a geometry-optimized Rb3Co5Br12 structure at the PBE level of DFT.

Cell: 14.651 14.651 14.651 Å, 109.47 109.47 109.47°
Fractional coordinates of all 80 atoms:
Rb: 0.125 0.250 0.375
Rb: 0.125 0.375 0.750
Rb: 0.250 0.375 0.125
Rb: 0.250 0.875 0.625
Rb: 0.375 0.125 0.250
Rb: 0.375 0.750 0.125
Rb: 0.625 0.250 0.875
Rb: 0.625 0.875 0.750
Rb: 0.750 0.125 0.375
Rb: 0.750 0.625 0.875
Rb: 0.875 0.625 0.250
Rb: 0.875 0.750 0.625
Co: 0.000 0.000 0.000
Co: 0.000 0.000 0.500
Co: 0.000 0.500 0.000
Co: 0.000 0.500 0.500
Co: 0.125 0.750 0.875
Co: 0.125 0.875 0.250
Co: 0.250 0.125 0.875
Co: 0.250 0.625 0.375
Co: 0.375 0.250 0.625
Co: 0.375 0.625 0.750
Co: 0.500 0.000 0.000
Co: 0.500 0.000 0.500
Co: 0.500 0.500 0.000
Co: 0.500 0.500 0.500
Co: 0.625 0.375 0.250
Co: 0.625 0.750 0.375
Co: 0.750 0.375 0.625
Co: 0.750 0.875 0.125
Co: 0.875 0.125 0.750
Co: 0.875 0.250 0.125
Br: 0.009 0.192 0.106
Br: 0.009 0.316 0.903
Br: 0.087 0.692 0.684
Br: 0.087 0.894 0.403
Br: 0.097 0.606 0.413
Br: 0.097 0.991 0.684
Br: 0.106 0.009 0.192
Br: 0.106 0.597 0.913
Br: 0.184 0.192 0.587
Br: 0.184 0.491 0.597
Br: 0.192 0.106 0.009
Br: 0.192 0.587 0.184
Br: 0.308 0.316 0.913
Br: 0.308 0.491 0.394
Br: 0.316 0.903 0.009
Br: 0.316 0.913 0.308
Br: 0.394 0.308 0.491
Br: 0.394 0.587 0.903
Br: 0.403 0.087 0.894
Br: 0.403 0.816 0.509
Br: 0.413 0.097 0.606
Br: 0.413 0.816 0.808
Br: 0.491 0.394 0.308
Br: 0.491 0.597 0.184
Br: 0.509 0.403 0.816
Br: 0.509 0.606 0.692
Br: 0.587 0.184 0.192
Br: 0.587 0.903 0.394
Br: 0.597 0.184 0.491
Br: 0.597 0.913 0.106
Br: 0.606 0.413 0.097
Br: 0.606 0.692 0.509
Br: 0.684 0.087 0.692
Br: 0.684 0.097 0.991
Br: 0.692 0.509 0.606
Br: 0.692 0.684 0.087
Br: 0.808 0.413 0.816
Br: 0.808 0.894 0.991
Br: 0.816 0.509 0.403
Br: 0.816 0.808 0.413
Br: 0.894 0.403 0.087
Br: 0.894 0.991 0.808
Br: 0.903 0.009 0.316
Br: 0.903 0.394 0.587
Br: 0.913 0.106 0.597
Br: 0.913 0.308 0.316
Br: 0.991 0.684 0.097
Br: 0.991 0.808 0.894

Calculated values
V	2420.9	Å³/cell
ΔE_f (raw)	-62.9	kJ per mole of atoms

No. 7
Computed, not measured: a geometry-optimized Ho3VGa12 structure at the PBE level of DFT.

Cell: 4.215 4.215 16.528 Å, 90.00 90.00 90.00°
Fractional coordinates of all 16 atoms:
Ho: 0.000 0.000 0.000
Ho: 0.000 0.000 0.262
Ho: 0.000 0.000 0.738
V: 0.000 0.000 0.500
Ga: 0.000 0.500 0.130
Ga: 0.000 0.500 0.391
Ga: 0.000 0.500 0.609
Ga: 0.000 0.500 0.870
Ga: 0.500 0.000 0.130
Ga: 0.500 0.000 0.391
Ga: 0.500 0.000 0.609
Ga: 0.500 0.000 0.870
Ga: 0.500 0.500 0.000
Ga: 0.500 0.500 0.256
Ga: 0.500 0.500 0.500
Ga: 0.500 0.500 0.744

Calculated values
VASP energy	-4.103	eV per atom
V	293.6	Å³/cell

No. 8
Computed, not measured: a geometry-optimized TaZn2InGa structure at the PBE level of DFT.

Cell: 5.106 5.106 5.455 Å, 90.00 90.00 90.00°
Fractional coordinates of all 5 atoms:
Ta: 0.000 0.000 0.000
Zn: 0.000 0.500 0.000
Zn: 0.500 0.000 0.000
In: 0.000 0.000 0.500
Ga: 0.500 0.500 0.500

Calculated values
VASP energy	-3.074	eV per atom
V	142.2	Å³/cell

No. 9
Computed, not measured: a geometry-optimized CeNdCdIr structure at the PBE level of DFT.

Cell: 5.177 5.177 5.177 Å, 60.00 60.00 60.00°
Fractional coordinates of all 4 atoms:
Ce: 0.000 0.000 0.000
Nd: 0.500 0.500 0.500
Cd: 0.750 0.750 0.750
Ir: 0.250 0.250 0.250

Calculated values
VASP energy	-5.473	eV per atom
V	98.1	Å³/cell

No. 10
Computed, not measured: a geometry-optimized SrAg2Te structure at the PBE level of DFT.

Cell: 4.500 4.500 5.239 Å, 90.00 90.00 90.00°
Fractional coordinates of all 4 atoms:
Sr: 0.000 0.000 0.000
Ag: 0.000 0.500 0.500
Ag: 0.500 0.000 0.500
Te: 0.500 0.500 0.000

Calculated values
offset from the most stable computed form	0.347	eV per formula unit
V	106.1	Å³/cell
ΔE_f (raw)	-40.1	kJ per mole of atoms

No. 11
Computed, not measured: a geometry-optimized Sm2Er5Tm12 structure at the PBE level of DFT.

Cell: 6.070 9.278 10.514 Å, 100.98 95.50 90.10°
Fractional coordinates of all 19 atoms:
Sm: 0.079 0.315 0.473
Sm: 0.921 0.685 0.527
Er: 0.237 0.947 0.420
Er: 0.342 0.368 0.052
Er: 0.500 0.000 0.000
Er: 0.658 0.632 0.948
Er: 0.763 0.053 0.580
Tm: 0.026 0.105 0.156
Tm: 0.132 0.526 0.791
Tm: 0.184 0.737 0.104
Tm: 0.290 0.158 0.738
Tm: 0.395 0.579 0.367
Tm: 0.447 0.790 0.685
Tm: 0.553 0.210 0.315
Tm: 0.605 0.421 0.633
Tm: 0.710 0.842 0.262
Tm: 0.816 0.263 0.896
Tm: 0.868 0.474 0.209
Tm: 0.974 0.895 0.844

Calculated values
offset from the most stable computed form	0.000	eV per formula unit
V	578.5	Å³/cell

No. 12
Computed, not measured: a geometry-optimized KRbTe4 structure at the PBE level of DFT.

Cell: 4.526 4.526 11.719 Å, 90.00 90.00 90.00°
Fractional coordinates of all 6 atoms:
K: 0.000 0.000 0.000
Rb: 0.500 0.500 0.500
Te: 0.000 0.500 0.243
Te: 0.000 0.500 0.757
Te: 0.500 0.000 0.243
Te: 0.500 0.000 0.757

Calculated values
offset from the most stable computed form	0.000	eV per formula unit
V	240.0	Å³/cell
ΔE_f (raw)	-57.2	kJ per mole of atoms

No. 13
Computed, not measured: a geometry-optimized Cr2MoP structure at the PBE level of DFT.

Cell: 3.073 3.073 5.361 Å, 90.00 90.00 90.00°
Fractional coordinates of all 4 atoms:
Cr: 0.000 0.000 0.229
Cr: 0.000 0.000 0.771
Mo: 0.500 0.500 0.500
P: 0.500 0.500 0.000

Calculated values
VASP energy	-8.957	eV per atom
V	50.6	Å³/cell

No. 14
Computed, not measured: a geometry-optimized TbRe7N12 structure at the PBE level of DFT.

Cell: 6.634 6.634 6.634 Å, 109.47 109.47 109.47°
Fractional coordinates of all 20 atoms:
Tb: 0.000 0.000 0.000
Re: 0.000 0.000 0.500
Re: 0.000 0.500 0.000
Re: 0.000 0.500 0.500
Re: 0.500 0.000 0.000
Re: 0.500 0.000 0.500
Re: 0.500 0.500 0.000
Re: 0.500 0.500 0.500
N: 0.126 0.306 0.819
N: 0.181 0.487 0.306
N: 0.181 0.874 0.694
N: 0.306 0.181 0.487
N: 0.306 0.819 0.126
N: 0.487 0.306 0.181
N: 0.513 0.694 0.819
N: 0.694 0.181 0.874
N: 0.694 0.819 0.513
N: 0.819 0.126 0.306
N: 0.819 0.513 0.694
N: 0.874 0.694 0.181

Calculated values
V	224.7	Å³/cell
ΔE_f (raw)	34.7	kJ per mole of atoms

No. 15
Computed, not measured: a geometry-optimized PmYHgTe structure at the PBE level of DFT.

Cell: 8.160 8.160 8.160 Å, 30.01 30.01 30.01°
Fractional coordinates of all 4 atoms:
Pm: 0.000 0.000 0.000
Y: 0.501 0.501 0.501
Hg: 0.752 0.752 0.752
Te: 0.248 0.248 0.248

Calculated values
V	120.4	Å³/cell
ΔE_f (raw)	-86.8	kJ per mole of atoms

No. 16
Computed, not measured: a geometry-optimized Pm3HoCu2 structure at the PBE level of DFT.

Cell: 4.999 8.924 6.970 Å, 90.00 90.00 90.00°
Fractional coordinates of all 12 atoms:
Pm: 0.000 0.078 0.000
Pm: 0.000 0.341 0.363
Pm: 0.000 0.659 0.863
Pm: 0.000 0.922 0.500
Pm: 0.500 0.163 0.652
Pm: 0.500 0.837 0.152
Ho: 0.500 0.425 0.018
Ho: 0.500 0.575 0.518
Cu: 0.000 0.350 0.773
Cu: 0.000 0.650 0.273
Cu: 0.500 0.157 0.242
Cu: 0.500 0.843 0.742

Calculated values
VASP energy	-4.623	eV per atom
V	310.9	Å³/cell

No. 17
Computed, not measured: a geometry-optimized Al3AsN structure at the PBE level of DFT.

Cell: 4.812 4.812 4.812 Å, 90.00 90.00 90.00°
Fractional coordinates of all 5 atoms:
Al: 0.000 0.000 0.500
Al: 0.000 0.500 0.000
Al: 0.500 0.000 0.000
As: 0.000 0.000 0.000
N: 0.500 0.500 0.500

Calculated values
offset from the most stable computed form	7.316	eV per formula unit
V	111.4	Å³/cell
ΔE_f (raw)	149.3	kJ per mole of atoms

No. 18
Computed, not measured: a geometry-optimized Cs3Tl2Te3 structure at the PBE level of DFT.

Cell: 7.821 7.821 18.793 Å, 90.00 90.00 138.75°
Fractional coordinates of all 16 atoms:
Cs: 0.072 0.928 0.605
Cs: 0.072 0.928 0.895
Cs: 0.357 0.643 0.750
Cs: 0.643 0.357 0.250
Cs: 0.928 0.072 0.105
Cs: 0.928 0.072 0.395
Tl: 0.237 0.763 0.088
Tl: 0.237 0.763 0.412
Tl: 0.763 0.237 0.588
Tl: 0.763 0.237 0.912
Te: 0.325 0.675 0.250
Te: 0.366 0.634 0.551
Te: 0.366 0.634 0.949
Te: 0.634 0.366 0.051
Te: 0.634 0.366 0.449
Te: 0.675 0.325 0.750

Calculated values
V	757.9	Å³/cell
ΔE_f (raw)	-68.5	kJ per mole of atoms

No. 19
Computed, not measured: a geometry-optimized SmErSc2 structure at the PBE level of DFT.

Cell: 4.903 4.903 4.674 Å, 90.00 90.00 90.00°
Fractional coordinates of all 4 atoms:
Sm: 0.000 0.000 0.000
Er: 0.500 0.500 0.000
Sc: 0.000 0.500 0.500
Sc: 0.500 0.000 0.500

Calculated values
offset from the most stable computed form	0.026	eV per formula unit
V	112.4	Å³/cell

No. 20
Computed, not measured: a geometry-optimized PuTi2Cr structure at the PBE level of DFT.

Cell: 9.629 9.629 9.629 Å, 17.40 17.40 17.40°
Fractional coordinates of all 4 atoms:
Pu: 0.000 0.000 0.000
Ti: 0.101 0.101 0.101
Ti: 0.899 0.899 0.899
Cr: 0.500 0.500 0.500

Calculated values
offset from the most stable computed form	0.991	eV per formula unit
V	69.7	Å³/cell